# 1
Here is a relaxed U2Co4GeP3 crystal from the Alexandria database. Energies are from PBE.

Summary:
volume: 141.3 Å³ per cell
DFT formation energy: -7.16 eV/f.u.
DOS(E_F): 1.24 states/eV/atom
raw total energy: -7.9006 eV per atom
space group: P-4m2

Cell and atoms, written as POSCAR:
```
U2Co4GeP3
1.0
3.917 0.000 0.000
0.000 3.917 0.000
0.000 0.000 9.210
U Co Ge P
2 4 1 3
Direct
0.000 0.500 0.247 U
0.500 0.000 0.753 U
0.000 0.000 0.000 Co
0.000 0.500 0.630 Co
0.500 0.000 0.370 Co
0.500 0.500 0.000 Co
0.000 0.000 0.500 Ge
0.000 0.500 0.869 P
0.500 0.000 0.131 P
0.500 0.500 0.500 P
```

# 2
Here is a relaxed LaTeAsN2 crystal from the Alexandria database. Energies are from PBE.

Summary:
volume: 97.8 Å³ per cell
DOS(E_F): 0.73 states/eV/atom
raw total energy: -5.2730 eV per atom
space group: P4/mmm
ΔE_f (raw): 290 kJ/mol of formula units

Cell and atoms, written as POSCAR:
```
LaTeAsN2
1.0
4.293 0.000 0.000
0.000 4.293 0.000
0.000 0.000 5.309
La Te As N
1 1 1 2
Direct
0.000 0.000 0.000 La
0.500 0.500 0.000 Te
0.500 0.500 0.500 As
0.000 0.500 0.500 N
0.500 0.000 0.500 N
```